First-principles (GGA+U) data for crystalline Li9V3W7O28 at its relaxed geometry, as listed in Alexandria via LeMat-Bulk.

a = 12.0934 Å, b = 12.0934 Å, c = 14.8194 Å
α = 90.00°, β = 90.00°, γ = 120.00°
Closest atoms and distances in Å follow each position.
Space group R3m (No. 160, hexagonal axes)
Symmetry-distinct sites (fractional):
Li1 0.0631 0.3879 0.0000 (multiplicity 18)  4 O 2.01-2.23
Li2 0.1757 0.0879 0.7092 (multiplicity 9)  3 O 1.98-2.05
V1 0.0131 0.5066 0.8436 (multiplicity 9)  6 O 2.10-2.30
W1 0.0000 0.0000 0.3205 (multiplicity 3)  3 O 1.88
W2 0.0013 0.5006 0.4708 (multiplicity 9)  4 O 1.80-1.83
W3 0.0944 0.1888 0.5182 (multiplicity 9)  3 O 1.81-1.85
O1 0.0000 0.0000 0.5770 (multiplicity 3)  3 W 2.16
O2 0.0000 0.5000 0.5924 (multiplicity 9)  1 W 1.80, 2 Li 2.01
O3 0.0214 0.5107 0.0989 (multiplicity 9)  1 W 1.81
O4 0.0834 0.1668 0.2731 (multiplicity 9)  1 W 1.88
O5 0.0827 0.4129 0.7621 (multiplicity 18)  1 W 1.83, 1 Li 2.02
O6 0.0850 0.1700 0.7630 (multiplicity 9)  1 W 1.80, 2 Li 1.98
O7 0.0990 0.4308 0.2568 (multiplicity 18)  1 W 1.85, 1 Li 2.06
O8 0.1522 0.0761 0.4379 (multiplicity 9)  3 W 2.17-2.36, 1 V 2.30

Output
total DFT energy (no corrections) = -6.89 eV per atom